[1]
LaPbCl2 | meta-GGA SCAN | single point on PBEsol structure

Cell lengths 4.692, 4.692, 4.504 Å; angles 90.00, 90.00, 90.00 degrees
Sites, in units of the cell vectors:
La 0.000 0.000 0.000
Pb 0.500 0.500 0.000
Cl 0.000 0.500 0.500
Cl 0.500 0.000 0.500

Computed properties:
For the raw formation energy, the calculation gives -1.346 eV per atom. For the relative energy among the computed polymorphs, the calculation gives 0.220 eV per atom. The space group is P4/mmm (123). The value obtained for the total energy is -2.57664 Ry/atom. For the total magnetization, the calculation gives 0.00 μB/f.u.


[2]
Ta2SbIr | meta-GGA SCAN | single point on PBEsol structure

Cell lengths 5.223, 5.223, 5.223 Å; angles 138.46, 133.19, 64.35 degrees
Sites, in units of the cell vectors:
Ta 0.246 0.246 0.000
Ta 0.754 0.754 0.000
Sb 0.500 0.000 0.500
Ir 0.000 0.500 0.500

Computed properties:
For the raw formation energy, the calculation gives -0.248 eV per atom. The space group is Immm (71). The value obtained for the total energy is -4.45619 Ry/atom. For the total magnetization, the calculation gives 0.00 μB/f.u.


[3]
Tc2PRu | meta-GGA SCAN | single point on PBEsol structure

Cell lengths 2.762, 3.862, 5.103 Å; angles 90.00, 103.32, 90.00 degrees
Sites, in units of the cell vectors:
Tc 0.127 0.000 0.265
Tc 0.873 0.000 0.735
P 0.500 0.500 0.500
Ru 0.500 0.500 0.000

Computed properties:
The space group is P2/m (10). For the energy of formation, the calculation gives -0.419 eV/f.u. The value obtained for the total energy is -2.12711 Ry/atom. For the total magnetization, the calculation gives 0.00 μB/f.u.


[4]
As3Ru | meta-GGA SCAN | single point on PBEsol structure

Cell lengths 7.243, 7.243, 3.569 Å; angles 90.00, 90.00, 120.23 degrees
Sites, in units of the cell vectors:
As 0.068 0.407 0.750
As 0.083 0.917 0.750
As 0.407 0.068 0.250
As 0.593 0.932 0.750
As 0.917 0.083 0.250
As 0.932 0.593 0.250
Ru 0.442 0.558 0.750
Ru 0.558 0.442 0.250

Computed properties:
For the relative energy among the computed polymorphs, the calculation gives 0.191 eV per atom. The space group is Cmcm (63). For the energy of formation, the calculation gives 1.372 eV/f.u. The value obtained for the total energy is -1.72770 Ry/atom. For the total magnetization, the calculation gives 0.00 μB/f.u.


[5]
CaMnIr | meta-GGA SCAN | single point on PBEsol structure

Cell lengths 3.896, 3.896, 4.560 Å; angles 90.00, 90.00, 120.00 degrees
Sites, in units of the cell vectors:
Ca 0.000 0.000 0.000
Mn 0.333 0.667 0.500
Ir 0.667 0.333 0.500

Computed properties:
For the relative energy among the computed polymorphs, the calculation gives 0.217 eV per atom. The space group is P-6m2 (187). For the energy of formation, the calculation gives -0.067 eV/f.u. The value obtained for the total energy is -2.42753 Ry/atom. For the total magnetization, the calculation gives 0.00 μB/f.u.


[6]
LaCd2Se | meta-GGA SCAN | single point on PBEsol structure

Cell lengths 3.844, 3.844, 6.640 Å; angles 90.00, 90.00, 90.00 degrees
Sites, in units of the cell vectors:
La 0.000 0.000 0.000
Cd 0.500 0.500 0.285
Cd 0.500 0.500 0.715
Se 0.000 0.000 0.500

Computed properties:
For the raw formation energy, the calculation gives -0.534 eV per atom. The space group is P4/mmm (123). The value obtained for the total energy is -2.31792 Ry/atom. For the total magnetization, the calculation gives 0.68 μB/f.u.